No. 1
A relaxed NdErCd2Hg4 crystal. Source: Alexandria via LeMat-Bulk, functional PBE.

Properties
Space-group type: R-3m, No. 166

```
8
Lattice="2.562 1.479 8.425 -2.562 1.479 8.425 0.000 -2.958 8.425" Properties=species:S:1:pos:R:3 pbc="T T T"
Nd 0.000 0.000 0.000
Er 0.000 0.000 12.637
Cd 0.000 0.000 6.326
Cd 0.000 0.000 18.947
Hg 0.000 0.000 3.233
Hg 0.000 0.000 9.567
Hg 0.000 0.000 15.706
Hg 0.000 0.000 22.041
```

---

No. 2
A relaxed ErCdNiHg crystal. Source: Alexandria via LeMat-Bulk, functional PBE.

Properties
Space-group type: F-43m, No. 216

```
4
Lattice="0.000 3.425 3.425 3.425 0.000 3.425 3.425 3.425 0.000" Properties=species:S:1:pos:R:3 pbc="T T T"
Er 0.000 0.000 0.000
Cd 3.425 3.425 3.425
Ni 1.712 1.712 1.712
Hg 5.137 5.137 5.137
```

---

No. 3
A relaxed Er4CdHg2Pd crystal. Source: Alexandria via LeMat-Bulk, functional PBE.

Properties
Space-group type: R-3m, No. 166

```
8
Lattice="2.580 1.489 8.364 -2.580 1.489 8.364 0.000 -2.979 8.364" Properties=species:S:1:pos:R:3 pbc="T T T"
Er 0.000 0.000 2.952
Er 0.000 0.000 9.277
Er 0.000 0.000 15.816
Er 0.000 0.000 22.141
Cd 0.000 0.000 12.546
Hg 0.000 0.000 6.098
Hg 0.000 0.000 18.994
Pd 0.000 0.000 0.000
```

---

No. 4
A relaxed PmErCdHg crystal. Source: Alexandria via LeMat-Bulk, functional PBE.

Properties
Space-group type: F-43m, No. 216

```
4
Lattice="0.000 3.763 3.763 3.763 0.000 3.763 3.763 3.763 0.000" Properties=species:S:1:pos:R:3 pbc="T T T"
Pm 0.000 0.000 0.000
Er 3.763 3.763 3.763
Cd 1.881 1.881 1.881
Hg 5.644 5.644 5.644
```

---

No. 5
A relaxed PrEr2CdHg4 crystal. Source: Alexandria via LeMat-Bulk, functional PBE.

Properties
Space-group type: R-3m, No. 166

```
8
Lattice="2.542 1.468 9.151 -2.542 1.468 9.151 0.000 -2.935 9.151" Properties=species:S:1:pos:R:3 pbc="T T T"
Pr 0.000 0.000 0.000
Er 0.000 0.000 6.560
Er 0.000 0.000 20.893
Cd 0.000 0.000 13.726
Hg 0.000 0.000 3.412
Hg 0.000 0.000 10.482
Hg 0.000 0.000 16.971
Hg 0.000 0.000 24.041
```

---

No. 6
A relaxed ErCdHgPt crystal. Source: Alexandria via LeMat-Bulk, functional PBE.

Properties
Space-group type: F-43m, No. 216

```
4
Lattice="0.000 3.474 3.474 3.474 0.000 3.474 3.474 3.474 0.000" Properties=species:S:1:pos:R:3 pbc="T T T"
Er 0.000 0.000 0.000
Cd 3.474 3.474 3.474
Hg 1.737 1.737 1.737
Pt 5.211 5.211 5.211
```

---

No. 7
A relaxed Er4CdHg2Pt crystal. Source: Alexandria via LeMat-Bulk, functional PBE.

Properties
Space-group type: R-3m, No. 166

```
8
Lattice="2.573 1.485 8.366 -2.573 1.485 8.366 0.000 -2.971 8.366" Properties=species:S:1:pos:R:3 pbc="T T T"
Er 0.000 0.000 2.901
Er 0.000 0.000 9.246
Er 0.000 0.000 15.852
Er 0.000 0.000 22.197
Cd 0.000 0.000 12.549
Hg 0.000 0.000 6.028
Hg 0.000 0.000 19.070
Pt 0.000 0.000 0.000
```

---

No. 8
A relaxed Er4CdHg2Rh crystal. Source: Alexandria via LeMat-Bulk, functional PBE.

Properties
Space-group type: R-3m, No. 166

```
8
Lattice="2.570 1.484 8.288 -2.570 1.484 8.288 0.000 -2.968 8.288" Properties=species:S:1:pos:R:3 pbc="T T T"
Er 0.000 0.000 2.833
Er 0.000 0.000 9.150
Er 0.000 0.000 15.713
Er 0.000 0.000 22.030
Cd 0.000 0.000 12.432
Hg 0.000 0.000 5.965
Hg 0.000 0.000 18.898
Rh 0.000 0.000 0.000
```

---

Final energy / eV per cell: -15.39 -12.41 -29.35 -12.08 -19.21 -14.16 -31.02 -31.53
Formation energy / eV per atom: -0.378 -0.211 -0.548 -0.387 -0.398 -0.585 -0.651 -0.551